# PaSeBr3

A relaxed structure of PaSeBr3 (PBE-GGA, the Alexandria database).

```
data_PaSeBr3
_chemical_formula_sum 'Pa4 Se4 Br12'
_space_group_name_H-M_alt 'P 1'
_space_group_IT_number 1
_space_group_name_Hall 'P 1'
_cell_length_a 7.6384
_cell_length_b 8.5363
_cell_length_c 14.2250
_cell_angle_alpha 87.00
_cell_angle_beta 83.28
_cell_angle_gamma 63.42
loop_
_atom_site_label
_atom_site_fract_x
_atom_site_fract_y
_atom_site_fract_z
Br1 0.9640 0.7986 0.5369
Br2 0.7626 0.2014 0.0369
Br3 0.1899 0.0739 0.1978
Br4 0.5010 0.7373 0.4260
Br5 0.4990 0.2627 0.5740
Br6 0.7617 0.7373 0.0740
Br7 0.2374 0.7986 0.9631
Br8 0.2383 0.2627 0.9260
Br9 0.0360 0.2014 0.4631
Br10 0.8101 0.9261 0.8022
Br11 0.7362 0.0739 0.3022
Br12 0.2638 0.9261 0.6978
Se1 0.9500 0.3855 0.7082
Se2 0.6645 0.3855 0.7918
Se3 0.3355 0.6145 0.2082
Se4 0.0500 0.6145 0.2918
Pa1 0.0211 0.1224 0.8610
Pa2 0.1434 0.8776 0.3610
Pa3 0.8566 0.1224 0.6390
Pa4 0.9789 0.8776 0.1390
```

The value obtained for the density of states at the Fermi level is 0.70 states/eV per atom. Its raw formation energy is -1.280 eV per atom. As for the crystal system: monoclinic.